# 1
A plane-wave DFT calculation with PBE was carried out for NdHfZr after structural relaxation.

Cell: 3.2378 3.2378 7.9318 Å, 101.78 101.78 90.00°
Last column: nearest neighbours and their distance in Å.
Fractional positions:
Nd 0.9971 0.9971 0.9942  4 Nd 3.24, 4 Hf 3.53
Hf 0.3201 0.3201 0.6403  4 Zr 3.10, 4 Hf 3.24
Zr 0.6828 0.6828 0.3655  4 Hf 3.10, 4 Zr 3.24

---

# 2
A plane-wave DFT calculation with PBE was carried out for NdHfZr2 after structural relaxation.

Cell: 3.7992 3.7992 7.1259 Å, 90.00 90.00 90.00°
Last column: nearest neighbours and their distance in Å.
Fractional positions:
Nd 0.5000 0.5000 0.5000  8 Zr 3.40, 2 Hf 3.56, 4 Nd 3.80
Zr 0.0000 0.0000 0.7933  1 Zr 2.95, 4 Hf 3.06
Zr 0.0000 0.0000 0.2067  1 Zr 2.95, 4 Hf 3.06
Hf 0.5000 0.5000 0.0000  8 Zr 3.06

---

# 3
A plane-wave DFT calculation with PBE was carried out for NdHfZr after structural relaxation.

Cell: 3.2971 3.2971 8.2837 Å, 90.00 90.00 120.00°
Last column: nearest neighbours and their distance in Å.
Fractional positions:
Zr 0.3333 0.6667 0.6453  3 Hf 3.09, 6 Zr 3.30
Hf 0.6667 0.3333 0.3514  3 Zr 3.09, 6 Hf 3.30, 3 Nd 3.46
Nd 0.0000 0.0000 0.0033  6 Nd 3.30, 3 Hf 3.46, 3 Zr 3.52

---

# 4
A plane-wave DFT calculation with PBE was carried out for NdHfZr2 after structural relaxation.

Cell: 3.2740 3.2740 10.9943 Å, 81.44 81.44 60.00°
Last column: nearest neighbours and their distance in Å.
Fractional positions:
Zr 0.2560 0.2560 0.2320  3 Hf 3.14, 6 Zr 3.27, 3 Nd 3.46
Zr 0.7440 0.7440 0.7680  3 Hf 3.14, 6 Zr 3.27, 3 Nd 3.46
Hf 0.0000 0.0000 0.0000  6 Zr 3.14, 6 Hf 3.27
Nd 0.5000 0.5000 0.5000  6 Nd 3.27, 6 Zr 3.46

---

# 5
A plane-wave DFT calculation with PBE was carried out for NdHfZr2 after structural relaxation.

Cell: 3.2793 3.2793 11.0253 Å, 81.45 81.45 60.00°
Last column: nearest neighbours and their distance in Å.
Fractional positions:
Hf 0.6669 0.6669 0.9993  6 Zr 3.13-3.14, 6 Hf 3.28
Nd 0.4996 0.4996 0.5012  6 Nd 3.28, 6 Zr 3.48-3.50
Zr 0.2568 0.2568 0.2297  3 Hf 3.14, 6 Zr 3.28, 3 Nd 3.50
Zr 0.0768 0.0768 0.7697  3 Hf 3.13, 6 Zr 3.28, 3 Nd 3.48

---

# 6
A plane-wave DFT calculation with PBE was carried out for Hf2Ni7 after structural relaxation.

Cell: 4.7856 4.7856 12.1434 Å, 78.64 78.64 60.00°
Last column: nearest neighbours and their distance in Å.
Fractional positions:
Ni 0.8921 0.3862 0.3355  7 Ni 2.36-2.42
Ni 0.3862 0.8921 0.3355  7 Ni 2.36-2.42
Ni 0.6138 0.1079 0.6645  7 Ni 2.36-2.42
Ni 0.6138 0.6138 0.6645  7 Ni 2.36-2.42
Ni 0.0000 0.5000 0.0000  8 Ni 2.39-2.42
Ni 0.1079 0.6138 0.6645  7 Ni 2.36-2.42
Ni 0.7224 0.7224 0.8328  6 Ni 2.41
Ni 0.2776 0.2776 0.1672  6 Ni 2.41
Ni 0.5000 0.5000 0.5000  6 Ni 2.40
Ni 0.6106 0.6106 0.1682  6 Ni 2.42
Ni 0.5000 0.0000 0.0000  8 Ni 2.39-2.42
Ni 0.5000 0.5000 0.0000  8 Ni 2.39-2.42
Ni 0.3862 0.3862 0.3355  7 Ni 2.36-2.42
Ni 0.3894 0.3894 0.8318  6 Ni 2.42
Hf 0.1464 0.1464 0.5607  12 Ni 2.69-2.99
Hf 0.9513 0.9513 0.1460  12 Ni 2.77-2.95
Hf 0.8536 0.8536 0.4393  12 Ni 2.69-2.99
Hf 0.0487 0.0487 0.8540  12 Ni 2.77-2.95

---

# 7
A plane-wave DFT calculation with PBE was carried out for Hf7Ni3 after structural relaxation.

Cell: 5.6247 8.8507 8.8507 Å, 120.00 90.00 90.00°
Last column: nearest neighbours and their distance in Å.
Fractional positions:
Hf 0.1324 0.4588 0.9175  2 Ni 2.56
Hf 0.9353 0.2640 0.1320  3 Ni 2.58-2.60
Hf 0.4353 0.1320 0.8680  3 Ni 2.58-2.60
Hf 0.4353 0.7360 0.8680  3 Ni 2.58-2.60
Hf 0.9353 0.8680 0.1320  3 Ni 2.58-2.60
Hf 0.1010 0.6667 0.3333  3 Ni 2.68
Hf 0.6324 0.5412 0.0825  2 Ni 2.56
Hf 0.6324 0.5412 0.4588  2 Ni 2.56
Hf 0.1324 0.4588 0.5412  2 Ni 2.56
Hf 0.6010 0.3333 0.6667  3 Ni 2.68
Hf 0.6324 0.9175 0.4588  2 Ni 2.56
Hf 0.1324 0.0825 0.5412  2 Ni 2.56
Hf 0.9353 0.8680 0.7360  3 Ni 2.58-2.60
Hf 0.4353 0.1320 0.2640  3 Ni 2.58-2.60
Ni 0.8680 0.1887 0.3774  6 Hf 2.56-2.68
Ni 0.8680 0.1887 0.8113  6 Hf 2.56-2.68
Ni 0.8680 0.6226 0.8113  6 Hf 2.56-2.68
Ni 0.3680 0.8113 0.1887  6 Hf 2.56-2.68
Ni 0.3680 0.8113 0.6226  6 Hf 2.56-2.68
Ni 0.3680 0.3774 0.1887  6 Hf 2.56-2.68

---

# 8
A plane-wave DFT calculation with PBE was carried out for HfNi after structural relaxation.

Cell: 3.2626 5.1813 4.0903 Å, 90.00 90.00 90.00°
Last column: nearest neighbours and their distance in Å.
Fractional positions:
Hf 0.5000 0.0000 0.0000  6 Ni 2.59-2.62
Hf 0.0000 0.5000 0.5000  6 Ni 2.59-2.62
Ni 0.0000 0.0000 0.5000  6 Hf 2.59-2.62
Ni 0.5000 0.5000 0.0000  6 Hf 2.59-2.62

---

The records above yield final energy values of -0.5599; -0.5740; -0.5566; -0.5743; -0.5747; -0.5228; -0.6613; -0.5900 Ry per atom, respectively.
The records above yield ΔH_f (0 K) values of 0.14; 0.14; 0.18; 0.14; 0.14; -0.40; -0.30; -0.16 eV per atom, respectively.